Record 1
Pr3Tm12Bi5: optimized geometry, PBE.

The structure in extended XYZ format:
```
80
Lattice="-9.8242 -11.8013 -4.2976 8.3544 -4.4465 12.8331 -8.5283 13.0213 3.4595" Properties=species:S:1:pos:R:3 pbc="T T T"
Tm -15.7411 -0.0232 0.2654
Tm -5.3200 2.6604 11.0571
Tm -6.5578 -0.9804 0.0247
Tm -3.5770 -9.0046 5.1222
Tm -11.4916 -0.8614 7.1148
Tm -3.8183 -4.2937 6.9996
Tm -3.4756 5.1690 13.2692
Tm 0.6051 -7.2716 6.9250
Tm -10.6033 4.0451 5.0701
Tm -0.2188 -2.0993 9.9239
Tm 5.7429 -3.2033 11.7297
Tm -2.2558 -0.8135 7.1882
Tm 2.5596 -4.3709 7.9508
Tm -9.0969 1.8066 7.7734
Tm -10.0511 -5.7273 1.3246
Tm -6.4212 5.7781 6.8729
Tm -2.3759 1.5119 13.2022
Tm -3.0904 4.1774 3.3915
Tm -7.7767 2.1202 1.8926
Tm -13.6309 -2.8058 -0.7793
Tm -12.5578 1.1444 4.0442
Tm -7.0339 7.0151 3.0170
Tm -7.7424 -2.4130 4.8068
Tm -6.9078 -7.4039 8.6035
Tm -4.6782 -5.8869 0.9380
Tm -5.9326 -11.4903 3.8736
Tm -0.8932 -13.2064 8.5233
Tm -5.5083 -1.5501 9.0503
Tm -6.1799 1.0671 4.9954
Tm 0.0529 2.5007 10.6704
Tm 3.6327 -0.4208 12.7743
Tm -1.4787 5.9831 10.3305
Tm -3.4404 -2.2461 11.9703
Tm -2.9220 3.0595 8.3411
Tm -1.4512 1.0379 2.5298
Tm -7.0762 -6.2860 3.6540
Tm -9.7794 -1.1273 2.0712
Tm -8.5195 -9.2096 1.6646
Tm -2.2215 -5.3467 10.1024
Tm -8.5470 -4.2644 9.4653
Tm -7.6223 -4.7384 -1.2071
Tm -4.0656 8.2638 8.1215
Tm -6.5226 -8.3955 -1.2742
Tm -2.9643 -10.2416 8.9780
Tm 1.4934 -2.3652 4.8803
Tm -0.9013 -5.0331 4.2216
Tm -4.4899 -1.6764 2.9447
Tm -9.1050 9.9799 3.4718
Bi -9.1763 0.6100 -0.4190
Bi -5.3448 -6.7471 6.0948
Bi -0.9622 -8.0112 9.4078
Bi 4.1772 -2.2233 6.4165
Bi -13.7862 1.9869 1.4080
Bi -7.3367 0.6829 9.9659
Bi -2.6615 -3.9095 2.0291
Bi -0.2272 0.1127 5.1401
Bi -4.9121 -5.9006 -2.1488
Bi -9.7710 -3.3392 6.8549
Bi 1.8396 0.0729 10.3850
Bi -4.2642 6.5107 1.7298
Bi -0.0870 4.2874 8.1463
Bi -4.9991 -1.6133 5.9975
Bi 0.0000 0.0000 0.0000
Bi -9.0360 4.7847 2.5872
Bi -11.8378 -3.2994 1.6101
Bi -4.6534 3.5205 5.9002
Bi 3.7880 -5.2134 10.5870
Bi -0.7349 -8.1239 4.2678
Pr -7.2497 -3.6045 1.8196
Pr -9.6840 -7.6266 -1.2914
Pr -9.4035 0.7227 4.7211
Pr -6.6017 8.8069 5.6982
Pr -2.7485 0.3779 10.1754
Pr -5.3013 -8.8908 2.0217
Pr -3.3965 -12.0334 6.2969
Pr -0.3142 4.4001 13.2864
Pr -5.3883 -4.6034 10.1680
Pr -4.6969 5.6642 9.9734
Pr -4.6099 1.3769 1.8271
Pr -0.5947 -3.9492 7.2740
```

Results
As for the space group: No. 230. As for the total energy: -4.12 eV/atom.



Record 2
Pr3YTm2Bi6: optimized geometry, PBE.

The structure in extended XYZ format:
```
12
Lattice="-3.7200 -0.4478 2.5838 -4.7439 -2.6350 -7.2868 5.3757 -8.3097 2.2907" Properties=species:S:1:pos:R:3 pbc="T T T"
Y -1.8600 -0.2239 1.2919
Bi -1.9507 -8.1160 -4.2152
Bi -3.3964 -4.6385 -1.6853
Bi -1.1384 -0.7040 -1.7610
Bi -1.1376 -3.2765 1.8029
Bi -1.9499 -10.6886 -0.6514
Bi 0.3081 -6.7540 -0.7270
Tm -2.6796 -7.6668 -1.1782
Tm -0.4087 -3.7258 -1.2341
Pr -4.2320 -1.5414 -2.3515
Pr -0.3037 -6.3620 2.4686
Pr -2.7845 -5.0305 -4.8810
```

Results
As for the space group: No. 12. As for the total energy: -5.30 eV/atom.



Record 3
PrUBi2: optimized geometry, PBE.

The structure in extended XYZ format:
```
4
Lattice="3.3935 0.0000 0.0000 0.0000 5.9382 0.0000 0.0000 0.0000 5.9382" Properties=species:S:1:pos:R:3 pbc="T T T"
Bi 0.0000 0.0000 2.9691
Bi 0.0000 2.9691 0.0000
Pr 1.6968 2.9691 2.9691
U 1.6968 0.0000 0.0000
```

Results
As for the space group: No. 123. As for the total energy: -6.23 eV/atom. The calculation puts the relative energy among the computed polymorphs at 0.000 eV per formula unit.



Record 4
PrUBi2: optimized geometry, PBE.

The structure in extended XYZ format:
```
4
Lattice="-1.0787 -1.3653 2.9315 2.1052 -0.1741 2.6757 -3.4731 10.4830 5.5866" Properties=species:S:1:pos:R:3 pbc="T T T"
Pr 0.0000 0.0000 0.0000
Bi -0.0138 1.4588 6.6207
Bi -2.4329 7.4848 4.5729
U -1.2233 4.4718 5.5968
```

Results
As for the space group: No. 166. As for the total energy: -5.82 eV/atom. The calculation puts the relative energy among the computed polymorphs at 1.623 eV per formula unit.



Record 5
Pr5UBi6: optimized geometry, PBE.

The structure in extended XYZ format:
```
12
Lattice="7.8634 -0.1274 -1.4822 -4.2528 6.6154 -1.4822 0.1540 0.2767 7.9940" Properties=species:S:1:pos:R:3 pbc="T T T"
Pr 1.8823 3.3824 2.5149
Pr 3.8120 2.1273 -1.4822
Pr -0.2014 4.3608 -1.4822
Pr -2.1230 5.6113 2.5149
Pr 5.8876 1.1534 2.5149
Bi 0.9961 1.7899 5.2940
Bi 2.7685 4.9748 -0.2643
Bi 2.9058 0.5548 1.2380
Bi 4.8247 4.0029 3.7918
Bi 0.8588 6.2100 3.7918
Bi -1.0601 2.7619 1.2380
U 0.0000 0.0000 0.0000
```

Results
As for the space group: No. 12. As for the total energy: -5.64 eV/atom.



Record 6
PrY2Bi: optimized geometry, PBE.

The structure in extended XYZ format:
```
8
Lattice="-0.8289 -3.3224 -2.4327 4.5641 3.7667 -3.0726 7.1389 -5.0303 4.4376" Properties=species:S:1:pos:R:3 pbc="T T T"
Bi 3.7484 -0.2612 -0.9201
Bi 7.1257 -4.3249 -0.1475
Y 6.8827 -1.1852 -0.7262
Y 3.9914 -3.4009 -0.3414
Y 1.0013 -1.2939 -2.2001
Y 9.8728 -3.2921 1.1325
Pr 5.0680 -1.0426 -3.9287
Pr 5.8061 -3.5434 2.8611
```

Results
As for the space group: No. 63. As for the total energy: -5.84 eV/atom. The calculation puts the relative energy among the computed polymorphs at 0.000 eV per formula unit.



Record 7
PrY3Bi2: optimized geometry, PBE.

The structure in extended XYZ format:
```
6
Lattice="4.6025 0.0000 0.0000 0.0000 4.6025 0.0000 0.0000 0.0000 8.7469" Properties=species:S:1:pos:R:3 pbc="T T T"
Bi 2.3013 0.0000 6.2339
Bi 0.0000 2.3013 2.5130
Pr 2.3013 2.3013 0.0000
Y 0.0000 0.0000 0.0000
Y 2.3013 0.0000 3.0541
Y 0.0000 2.3013 5.6928
```

Results
As for the space group: No. 115. As for the total energy: -5.94 eV/atom. The calculation puts the relative energy among the computed polymorphs at 0.000 eV per formula unit.



Record 8
Pr3YBi4: optimized geometry, PBE.

The structure in extended XYZ format:
```
8
Lattice="4.6078 0.0000 0.0000 0.0000 7.9720 -0.0772 0.0000 -2.5866 7.5411" Properties=species:S:1:pos:R:3 pbc="T T T"
Y 2.3039 0.0000 0.0000
Pr 0.0000 3.9860 -0.0386
Pr 2.3039 2.6927 3.7320
Pr 0.0000 -1.2933 3.7706
Bi 0.0000 4.0744 5.6470
Bi 2.3039 5.3678 1.8019
Bi 0.0000 1.3110 1.8170
Bi 2.3039 0.0176 5.6621
```

Results
As for the space group: No. 65. As for the total energy: -5.48 eV/atom.



Record 9
PrY3Bi4: optimized geometry, PBE.

The structure in extended XYZ format:
```
8
Lattice="4.5275 0.0000 0.0000 0.0000 7.8343 -0.0759 0.0000 -2.5420 7.4108" Properties=species:S:1:pos:R:3 pbc="T T T"
Y 2.2638 2.6462 3.6675
Y 0.0000 3.9172 -0.0380
Y 0.0000 -1.2710 3.7054
Bi 2.2638 5.2053 1.8209
Bi 0.0000 3.9335 5.4517
Bi 2.2638 0.0870 5.5140
Bi 0.0000 1.3588 1.8832
Pr 2.2638 0.0000 0.0000
```

Results
As for the space group: No. 65. As for the total energy: -5.87 eV/atom.



Record 10
PrY3Bi4: optimized geometry, PBE.

The structure in extended XYZ format:
```
8
Lattice="6.3966 0.0000 0.0000 0.0000 6.3966 0.0000 0.0000 0.0000 6.3966" Properties=species:S:1:pos:R:3 pbc="T T T"
Bi 0.0000 3.1983 0.0000
Bi 3.1983 3.1983 3.1983
Bi 3.1983 0.0000 0.0000
Bi 0.0000 0.0000 3.1983
Pr 0.0000 0.0000 0.0000
Y 3.1983 0.0000 3.1983
Y 0.0000 3.1983 3.1983
Y 3.1983 3.1983 0.0000
```

Results
As for the space group: No. 221. As for the total energy: -5.87 eV/atom.



Record 11
PrY4Bi5: optimized geometry, PBE.

The structure in extended XYZ format:
```
10
Lattice="-3.5270 2.3579 -1.5445 -3.1582 -5.4449 -1.1004 -0.9610 1.9334 11.7451" Properties=species:S:1:pos:R:3 pbc="T T T"
Bi -4.3520 1.4135 5.4966
Bi -4.9891 -2.4135 7.7083
Bi -3.2943 -2.5671 3.6036
Bi -2.6571 1.2599 1.3919
Bi -1.5791 -2.7225 -0.5502
Pr 0.0000 0.0000 0.0000
Y -3.4417 0.3118 8.3352
Y -1.7388 0.1575 4.2111
Y -4.2046 -1.4654 0.7650
Y -5.9074 -1.3111 4.8891
```

Results
As for the space group: No. 71. As for the total energy: -5.91 eV/atom.



Record 12
PrY3Bi2: optimized geometry, PBE.

The structure in extended XYZ format:
```
12
Lattice="-3.1936 2.9074 1.0896 -4.8795 -9.4919 1.9218 6.2308 4.4970 6.2631" Properties=species:S:1:pos:R:3 pbc="T T T"
Y -1.0191 0.6012 4.5128
Y -3.8453 -3.1391 6.2092
Y -0.8232 -2.6888 4.7616
Y -3.4217 -4.8786 2.9887
Y 1.5794 2.7910 6.2857
Y 2.0030 1.0515 3.0652
Bi -3.4988 -1.6223 3.1777
Bi 1.6565 -0.4653 6.0968
Bi -0.6077 2.0966 1.7284
Bi -1.2346 -4.1842 7.5460
Pr -0.7993 -1.3243 1.1909
Pr -1.0430 -0.7633 8.0835
```

Results
As for the space group: No. 12. As for the total energy: -5.86 eV/atom. The calculation puts the relative energy among the computed polymorphs at 0.440 eV per formula unit.



Record 13
PrY2Bi: optimized geometry, PBE.

The structure in extended XYZ format:
```
4
Lattice="4.0327 0.0000 0.0000 2.0163 3.4924 0.0000 2.0163 1.1641 9.8877" Properties=species:S:1:pos:R:3 pbc="T T T"
Bi 0.0000 0.0000 0.0000
Y 6.0490 3.4924 7.8647
Y 2.0163 1.1641 2.0230
Pr 4.0327 2.3283 4.9438
```

Results
As for the space group: No. 166. As for the total energy: -5.59 eV/atom. The calculation puts the relative energy among the computed polymorphs at 0.969 eV per formula unit.



Record 14
PrY2Bi: optimized geometry, PBE.

The structure in extended XYZ format:
```
4
Lattice="-0.1763 -4.0205 0.6931 0.6185 -1.4517 3.7664 -9.3332 -1.0913 3.3259" Properties=species:S:1:pos:R:3 pbc="T T T"
Bi 0.2831 -3.6472 2.9753
Pr -4.4290 -3.2830 3.8895
Y -1.8078 -1.6729 1.8658
Y -7.3827 -1.2420 2.9474
```

Results
As for the space group: No. 160. As for the total energy: -5.61 eV/atom. The calculation puts the relative energy among the computed polymorphs at 0.897 eV per formula unit.



Record 15
PrY2Bi2: optimized geometry, PBE.

The structure in extended XYZ format:
```
5
Lattice="-3.9149 -2.3796 0.6708 0.0586 -1.3450 -4.4301 5.9732 -4.2132 3.7984" Properties=species:S:1:pos:R:3 pbc="T T T"
Pr 0.0000 0.0000 0.0000
Y 2.0535 -3.7098 -1.2577
Y 0.0635 -4.2280 1.2968
Bi 3.1852 -4.7996 1.5077
Bi -1.0683 -3.1383 -1.4687
```

Results
As for the space group: No. 12. As for the total energy: -5.60 eV/atom.



Record 16
Pr2YBi2: optimized geometry, PBE.

The structure in extended XYZ format:
```
10
Lattice="-4.5719 -4.5540 1.1712 3.7725 -5.2956 -5.8643 3.9260 2.5253 6.7818" Properties=species:S:1:pos:R:3 pbc="T T T"
Pr 4.8878 -5.0839 -0.6876
Pr -1.7612 -2.2403 2.7763
Pr 1.6134 -1.4915 0.4985
Pr 1.5132 -5.8328 1.5903
Bi 3.6914 -4.6335 -3.6065
Bi -0.5649 -2.6907 5.6953
Bi 3.8155 -3.3537 1.8541
Bi -0.6889 -3.9706 0.2347
Y -1.5427 -6.0633 -2.0537
Y 0.7433 -3.7863 -2.6393
```

Results
As for the space group: No. 72. As for the total energy: -5.41 eV/atom.



Record 17
Pr2Y3Bi2: optimized geometry, PBE.

The structure in extended XYZ format:
```
7
Lattice="4.3787 0.0000 0.0000 -2.1894 6.2653 -0.0722 0.0000 -2.9520 8.3750" Properties=species:S:1:pos:R:3 pbc="T T T"
Pr 0.0000 -0.6755 6.5938
Pr 2.1894 3.9888 1.7090
Y 0.0000 3.0846 4.5666
Y 2.1894 0.2287 3.7362
Y 2.1894 0.0000 0.0000
Bi 0.0000 1.5110 1.6782
Bi 2.1894 1.8022 6.6247
```

Results
As for the space group: No. 12. As for the total energy: -5.76 eV/atom.



Record 18
PrY5Bi6: optimized geometry, PBE.

The structure in extended XYZ format:
```
12
Lattice="-0.3253 6.5364 -4.2676 -6.9806 3.3832 0.9364 -1.0722 5.2314 5.7055" Properties=species:S:1:pos:R:3 pbc="T T T"
Y -3.6529 4.9598 -1.6656
Y -5.3733 5.7361 4.4176
Y -2.0273 7.3394 1.8552
Y -2.6795 2.8785 2.2242
Y -6.3507 7.8115 0.5190
Bi -1.1996 6.9347 -1.1688
Bi -4.4671 5.3843 1.3877
Bi -3.9109 9.7667 0.9865
Bi -7.1784 8.2162 3.5431
Bi -1.8669 2.5089 -0.8338
Bi -5.4389 7.4106 -2.4975
Pr 0.0000 0.0000 0.0000
```

Results
As for the space group: No. 12. As for the total energy: -5.94 eV/atom.



Record 19
PrY5Bi4: optimized geometry, PBE.

The structure in extended XYZ format:
```
10
Lattice="4.4673 0.0000 0.0000 0.0000 8.5520 -0.7812 -2.2336 -2.0342 9.3876" Properties=species:S:1:pos:R:3 pbc="T T T"
Y 2.2336 0.2116 6.2653
Y 0.0000 6.3063 2.3410
Y 2.2336 4.2833 5.4282
Y 2.2336 4.2760 -0.3906
Y 0.0000 2.2345 3.1782
Bi 0.0000 2.2571 0.0676
Bi 2.2336 0.0140 3.1909
Bi 2.2336 4.2608 8.5388
Bi 0.0000 6.5039 5.4155
Pr 2.2336 0.0000 0.0000
```

Results
As for the space group: No. 12. As for the total energy: -5.78 eV/atom.



Record 20
Pr3YBi4: optimized geometry, PBE.

The structure in extended XYZ format:
```
8
Lattice="6.5096 0.0000 0.0000 0.0000 6.5096 0.0000 0.0000 0.0000 6.5096" Properties=species:S:1:pos:R:3 pbc="T T T"
Pr 3.2548 3.2548 0.0000
Pr 3.2548 0.0000 3.2548
Pr 0.0000 3.2548 3.2548
Bi 0.0000 3.2548 0.0000
Bi 3.2548 0.0000 0.0000
Bi 3.2548 3.2548 3.2548
Bi 0.0000 0.0000 3.2548
Y 0.0000 0.0000 0.0000
```

Results
As for the space group: No. 221. As for the total energy: -5.48 eV/atom.